A) Material: BPRhCS
Method: DFT, PBE
State: relaxed

Lattice parameters (Å, degrees): 2.858 2.946 7.307 90.00 90.00 90.00
Positions (direct):
B  0.000  0.000  0.000
P  0.500  0.500  0.724
Rh  0.000  0.500  0.493
C  0.500  0.000  0.879
S  0.000  0.500  0.165

Summary:
Space group: No. 25
DOS(E_F) in states/eV per atom: 0.50



B) Material: BPRhCS
Method: DFT, PBE
State: relaxed

Lattice parameters (Å, degrees): 4.371 2.929 5.223 90.00 100.31 90.00
Positions (direct):
B  0.000  0.000  0.000
P  0.611  0.500  0.181
Rh  0.142  0.500  0.317
C  0.621  0.000  0.960
S  0.254  0.000  0.731

Summary:
Space group: No. 6
DOS(E_F) in states/eV per atom: 0.33



A) wins, 22.7 kJ/mol of atoms ahead of the next structure.